VASP calculation (GGA-PBE) on La2YCu2 after structural relaxation.

Unit cell a=8.5119 b=8.5119 c=3.4551 alpha=90.00 beta=90.00 gamma=90.00
Closest atoms and distances in Å follow each position.
Fractional positions:
Cu  0.3348  0.1652  0.5000  6 La 2.95-3.10
Y  0.0000  0.0000  0.0000  4 La 3.31, 2 Y 3.46, 8 Cu 3.62
La  0.3638  0.8638  0.0000  6 Cu 2.95-3.10, 1 La 3.28
La  0.1362  0.3638  0.0000  6 Cu 2.95-3.10, 1 La 3.28
Cu  0.8348  0.3348  0.5000  6 La 2.95-3.10
Cu  0.1652  0.6652  0.5000  6 La 2.95-3.10
La  0.6362  0.1362  0.0000  6 Cu 2.95-3.10, 1 La 3.28
Y  0.5000  0.5000  0.0000  4 La 3.31, 2 Y 3.46, 8 Cu 3.62
La  0.8638  0.6362  0.0000  6 Cu 2.95-3.10, 1 La 3.28
Cu  0.6652  0.8348  0.5000  6 La 2.95-3.10

Properties
SG	P4/mbm (127)
formation energy from the elements	0.0314	eV/atom
energy above the lowest structure with this stoichiometry	147	meV/atom

VASP calculation (GGA-PBE) on LaYCu2 after structural relaxation.

Unit cell a=6.4786 b=6.4786 c=6.4786 alpha=58.68 beta=151.20 gamma=130.05
Closest atoms and distances in Å follow each position.
Fractional positions:
La  0.0000  0.5000  0.5000  2 Cu 2.87, 4 Y 3.17
Cu  0.0000  0.2456  0.2456  1 Y 2.77, 1 La 2.87
Cu  0.0000  0.7544  0.7544  1 Y 2.77, 1 La 2.87
Y  0.0000  0.0000  0.0000  2 Cu 2.77

Properties
SG	Immm (71)
formation energy from the elements	0.8048	eV/atom
energy above the lowest structure with this stoichiometry	1001	meV/atom

VASP calculation (GGA-PBE) on LaY2Cu after structural relaxation.

Unit cell a=5.5499 b=5.5499 c=3.6364 alpha=90.00 beta=90.00 gamma=101.74
Closest atoms and distances in Å follow each position.
Fractional positions:
Y  0.0000  0.0000  0.0000  4 La 3.32, 4 Cu 3.32, 4 Y 3.50-3.64
La  0.0000  0.5000  0.5000  8 Y 3.32, 2 Cu 3.50, 2 La 3.64
Cu  0.5000  0.0000  0.5000  8 Y 3.32, 2 La 3.50, 2 Cu 3.64
Y  0.5000  0.5000  0.0000  4 Cu 3.32, 4 La 3.32, 4 Y 3.50-3.64

Properties
SG	Cmmm (65)
formation energy from the elements	0.1801	eV/atom
energy above the lowest structure with this stoichiometry	272	meV/atom